No. 1
A plane-wave DFT calculation with SCAN was carried out for a crystal of KCaAs2 relaxed with PBEsol.

## Properties
* crystal system: orthorhombic
* E above lowest polymorph: 22 meV per atom
* E_form: -18.90 kcal/mol of atoms
* final energy: -15.413 eV/atom

The structure in CIF format:
```
data_KCaAs2
_chemical_formula_sum 'K2 Ca2 As4'
_cell_length_a 4.004
_cell_length_b 3.938
_cell_length_c 14.299
_cell_angle_alpha 90.00
_cell_angle_beta 90.00
_cell_angle_gamma 90.00
_symmetry_space_group_name_H-M 'A m m 2'
_symmetry_Int_Tables_number 38
_symmetry_space_group_name_Hall 'A 2 -2'
loop_
_atom_site_label
_atom_site_fract_x
_atom_site_fract_y
_atom_site_fract_z
K1 0.000 0.000 0.000
Ca1 0.000 0.000 0.758
As1 0.500 0.000 0.182
As2 0.500 0.000 0.351
```

---

No. 2
A plane-wave DFT calculation with SCAN was carried out for a crystal of ScCu2As relaxed with PBEsol.

## Properties
* crystal system: trigonal
* E_form: -10.43 kcal/mol of atoms
* final energy: -16.659 eV/atom

The structure in CIF format:
```
data_ScCu2As
_chemical_formula_sum 'Sc3 Cu6 As3'
_cell_length_a 3.9953
_cell_length_b 3.9953
_cell_length_c 13.3719
_cell_angle_alpha 90.00
_cell_angle_beta 90.00
_cell_angle_gamma 120.00
_symmetry_space_group_name_H-M 'R 3 m'
_symmetry_Int_Tables_number 160
_symmetry_space_group_name_Hall 'R 3 -2"'
loop_
_atom_site_label
_atom_site_fract_x
_atom_site_fract_y
_atom_site_fract_z
Sc1 0.0000 0.0000 0.0000
Cu1 0.0000 0.0000 0.4996
Cu2 0.0000 0.0000 0.7780
As1 0.0000 0.0000 0.2178
```

---

No. 3
A plane-wave DFT calculation with SCAN was carried out for a crystal of SbP2Rh relaxed with PBEsol.

## Properties
* crystal system: monoclinic
* E_form (uncorrected): -0.25 eV per atom
* final energy: -23.204 eV/atom

The structure in CIF format:
```
data_SbP2Rh
_chemical_formula_sum 'Sb1 P2 Rh1'
_cell_length_a 4.295
_cell_length_b 3.706
_cell_length_c 4.573
_cell_angle_alpha 90.00
_cell_angle_beta 105.89
_cell_angle_gamma 90.00
_symmetry_space_group_name_H-M 'P 1 2/m 1'
_symmetry_Int_Tables_number 10
_symmetry_space_group_name_Hall '-P 2y'
loop_
_atom_site_label
_atom_site_fract_x
_atom_site_fract_y
_atom_site_fract_z
Sb1 0.000 0.000 0.000
P1 0.242 0.500 0.659
Rh1 0.500 0.000 0.500
```

---

No. 4
A plane-wave DFT calculation with SCAN was carried out for a crystal of BiTe relaxed with PBEsol.

## Properties
* crystal system: trigonal
* E_form (uncorrected): -0.04 eV per atom
* E above lowest polymorph: 103 meV per atom
* final energy: -57.951 eV/atom

The structure in CIF format:
```
data_BiTe
_chemical_formula_sum 'Bi3 Te3'
_cell_length_a 4.7931
_cell_length_b 4.7931
_cell_length_c 9.6214
_cell_angle_alpha 90.00
_cell_angle_beta 90.00
_cell_angle_gamma 120.00
_symmetry_space_group_name_H-M 'R -3 m'
_symmetry_Int_Tables_number 166
_symmetry_space_group_name_Hall '-R 3 2"'
loop_
_atom_site_label
_atom_site_fract_x
_atom_site_fract_y
_atom_site_fract_z
Bi1 0.0000 0.0000 0.0000
Te1 0.0000 0.0000 0.5000
```

---

No. 5
A plane-wave DFT calculation with SCAN was carried out for a crystal of LiTc4Ir relaxed with PBEsol.

## Properties
* crystal system: cubic
* E_form: 7.58 kcal/mol of atoms
* final energy: -35.293 eV/atom

The structure in CIF format:
```
data_LiTc4Ir
_chemical_formula_sum 'Li4 Tc16 Ir4'
_cell_length_a 7.063
_cell_length_b 7.063
_cell_length_c 7.063
_cell_angle_alpha 90.00
_cell_angle_beta 90.00
_cell_angle_gamma 90.00
_symmetry_space_group_name_H-M 'F -4 3 m'
_symmetry_Int_Tables_number 216
_symmetry_space_group_name_Hall 'F -4 2 3'
loop_
_atom_site_label
_atom_site_fract_x
_atom_site_fract_y
_atom_site_fract_z
Li1 0.000 0.000 0.000
Tc1 0.126 0.126 0.626
Ir1 0.250 0.250 0.250
```

---

No. 6
A plane-wave DFT calculation with SCAN was carried out for a crystal of NiRu3W relaxed with PBEsol.

## Properties
* crystal system: cubic
* E_form: 38.29 kcal/mol of atoms
* final energy: -36.407 eV/atom

The structure in CIF format:
```
data_NiRu3W
_chemical_formula_sum 'Ni1 Ru3 W1'
_cell_length_a 4.269
_cell_length_b 4.269
_cell_length_c 4.269
_cell_angle_alpha 90.00
_cell_angle_beta 90.00
_cell_angle_gamma 90.00
_symmetry_space_group_name_H-M 'P m -3 m'
_symmetry_Int_Tables_number 221
_symmetry_space_group_name_Hall '-P 4 2 3'
loop_
_atom_site_label
_atom_site_fract_x
_atom_site_fract_y
_atom_site_fract_z
Ni1 0.000 0.000 0.000
Ru1 0.000 0.000 0.500
W1 0.500 0.500 0.500
```

---

No. 7
A plane-wave DFT calculation with SCAN was carried out for a crystal of BaTl2Tc relaxed with PBEsol.

## Properties
* crystal system: tetragonal
* E above lowest polymorph: 189 meV per atom
* E_form: 13.99 kcal/mol of atoms
* final energy: -54.225 eV/atom

The structure in CIF format:
```
data_BaTl2Tc
_chemical_formula_sum 'Ba2 Tl4 Tc2'
_cell_length_a 4.761
_cell_length_b 4.761
_cell_length_c 9.403
_cell_angle_alpha 90.00
_cell_angle_beta 90.00
_cell_angle_gamma 90.00
_symmetry_space_group_name_H-M 'I -4 m 2'
_symmetry_Int_Tables_number 119
_symmetry_space_group_name_Hall 'I -4 -2'
loop_
_atom_site_label
_atom_site_fract_x
_atom_site_fract_y
_atom_site_fract_z
Ba1 0.000 0.000 0.000
Tl1 0.000 0.000 0.500
Tl2 0.000 0.500 0.750
Tc1 0.000 0.500 0.250
```

---

No. 8
A plane-wave DFT calculation with SCAN was carried out for a crystal of Al4Ru relaxed with PBEsol.

## Properties
* crystal system: tetragonal
* E_form: 4.85 kcal/mol of atoms
* final energy: -12.956 eV/atom

The structure in CIF format:
```
data_Al4Ru
_chemical_formula_sum 'Al8 Ru2'
_cell_length_a 3.459
_cell_length_b 3.459
_cell_length_c 13.459
_cell_angle_alpha 90.00
_cell_angle_beta 90.00
_cell_angle_gamma 90.00
_symmetry_space_group_name_H-M 'I 4/m m m'
_symmetry_Int_Tables_number 139
_symmetry_space_group_name_Hall '-I 4 2'
loop_
_atom_site_label
_atom_site_fract_x
_atom_site_fract_y
_atom_site_fract_z
Al1 0.000 0.000 0.093
Al2 0.000 0.500 0.250
Ru1 0.000 0.000 0.500
```

---

No. 9
A plane-wave DFT calculation with SCAN was carried out for a crystal of MgHg2Pb relaxed with PBEsol.

## Properties
* crystal system: orthorhombic
* E_form: -1.76 kcal/mol of atoms
* final energy: -54.348 eV/atom

The structure in CIF format:
```
data_MgHg2Pb
_chemical_formula_sum 'Mg2 Hg4 Pb2'
_cell_length_a 3.792
_cell_length_b 4.853
_cell_length_c 10.480
_cell_angle_alpha 90.00
_cell_angle_beta 90.00
_cell_angle_gamma 90.00
_symmetry_space_group_name_H-M 'I m m 2'
_symmetry_Int_Tables_number 44
_symmetry_space_group_name_Hall 'I 2 -2'
loop_
_atom_site_label
_atom_site_fract_x
_atom_site_fract_y
_atom_site_fract_z
Mg1 0.000 0.000 0.000
Hg1 0.000 0.000 0.525
Hg2 0.000 0.500 0.281
Pb1 0.000 0.500 0.753
```

---

No. 10
A plane-wave DFT calculation with SCAN was carried out for a crystal of TlZn2Fe relaxed with PBEsol.

## Properties
* crystal system: orthorhombic
* E above lowest polymorph: 75 meV per atom
* E_form: 7.35 kcal/mol of atoms
* final energy: -29.061 eV/atom

The structure in CIF format:
```
data_TlZn2Fe
_chemical_formula_sum 'Tl2 Zn4 Fe2'
_cell_length_a 2.884
_cell_length_b 4.485
_cell_length_c 9.915
_cell_angle_alpha 90.00
_cell_angle_beta 90.00
_cell_angle_gamma 90.00
_symmetry_space_group_name_H-M 'I m m m'
_symmetry_Int_Tables_number 71
_symmetry_space_group_name_Hall '-I 2 2'
loop_
_atom_site_label
_atom_site_fract_x
_atom_site_fract_y
_atom_site_fract_z
Tl1 0.000 0.000 0.000
Zn1 0.000 0.500 0.213
Fe1 0.000 0.000 0.500
```

---

No. 11
A plane-wave DFT calculation with SCAN was carried out for a crystal of Y3Ge relaxed with PBEsol.

## Properties
* crystal system: tetragonal
* E_form: -7.08 kcal/mol of atoms
* final energy: -25.961 eV/atom

The structure in CIF format:
```
data_Y3Ge
_chemical_formula_sum 'Y6 Ge2'
_cell_length_a 4.465
_cell_length_b 4.465
_cell_length_c 10.055
_cell_angle_alpha 90.00
_cell_angle_beta 90.00
_cell_angle_gamma 90.00
_symmetry_space_group_name_H-M 'I 4/m m m'
_symmetry_Int_Tables_number 139
_symmetry_space_group_name_Hall '-I 4 2'
loop_
_atom_site_label
_atom_site_fract_x
_atom_site_fract_y
_atom_site_fract_z
Y1 0.000 0.000 0.000
Y2 0.000 0.500 0.250
Ge1 0.000 0.000 0.500
```

---

No. 12
A plane-wave DFT calculation with SCAN was carried out for a crystal of Ta2SiHg relaxed with PBEsol.

## Properties
* crystal system: monoclinic
* E_form (uncorrected): 0.20 eV per atom
* final energy: -52.639 eV/atom

The structure in CIF format:
```
data_Ta2SiHg
_chemical_formula_sum 'Ta4 Si2 Hg2'
_cell_length_a 10.121
_cell_length_b 2.880
_cell_length_c 4.840
_cell_angle_alpha 90.00
_cell_angle_beta 106.45
_cell_angle_gamma 90.00
_symmetry_space_group_name_H-M 'C 1 m 1'
_symmetry_Int_Tables_number 8
_symmetry_space_group_name_Hall 'C -2y'
loop_
_atom_site_label
_atom_site_fract_x
_atom_site_fract_y
_atom_site_fract_z
Ta1 0.000 0.000 0.000
Ta2 0.217 0.000 0.635
Si1 0.486 0.000 0.502
Hg1 0.254 0.500 0.158
```

---

No. 13
A plane-wave DFT calculation with SCAN was carried out for a crystal of MgInIN2 relaxed with PBEsol.

## Properties
* crystal system: tetragonal
* E_form (uncorrected): 0.90 eV per atom
* final energy: -17.838 eV/atom

The structure in CIF format:
```
data_MgInIN2
_chemical_formula_sum 'Mg1 In1 I1 N2'
_cell_length_a 4.389
_cell_length_b 4.389
_cell_length_c 5.702
_cell_angle_alpha 90.00
_cell_angle_beta 90.00
_cell_angle_gamma 90.00
_symmetry_space_group_name_H-M 'P 4/m m m'
_symmetry_Int_Tables_number 123
_symmetry_space_group_name_Hall '-P 4 2'
loop_
_atom_site_label
_atom_site_fract_x
_atom_site_fract_y
_atom_site_fract_z
Mg1 0.000 0.000 0.000
In1 0.500 0.500 0.500
I1 0.000 0.000 0.500
N1 0.000 0.500 0.000
```